# 1
The following is a DFT calculation (GGA-PBE) of a relaxed NaAgTeAu crystal.

- Formation energy (no corrections): -0.27 eV/atom
- Energy: -2.92 eV/atom

a b c (Å): 4.066 4.066 11.884
angles (deg): 90.00 90.00 90.00
Space group P4/nmm (No. 129, origin choice 2)
Unique sites:
Na  0.250  0.250  0.204 x2
Ag  0.250  0.750  0.500 x2
Te  0.250  0.250  0.673 x2
Au  0.250  0.750  0.000 x2



# 2
The following is a DFT calculation (GGA-PBE) of a relaxed TlCu2I4 crystal.

- Formation energy (no corrections): -0.25 eV/atom
- Energy: -2.64 eV/atom

a b c (Å): 6.026 6.026 8.090
angles (deg): 90.00 90.00 90.00
Space group P-42m (No. 111)
Unique sites:
Tl  0.000  0.000  0.000 x1
Cu  0.000  0.500  0.500 x2
I  0.259  0.259  0.314 x4



# 3
The following is a DFT calculation (GGA-PBE) of a relaxed LiReOs crystal.

- ΔE to the lowest computed polymorph: 59 meV/atom
- ΔH_f (0 K): 228 meV per atom
- Energy: -8.30 eV/atom

a b c (Å): 2.720 4.000 7.519
angles (deg): 90.00 90.00 90.00
Space group Imm2 (No. 44)
Unique sites:
Li  0.000  0.000  0.000 x2
Re  0.000  0.000  0.330 x2
Os  0.000  0.000  0.667 x2



# 4
The following is a DFT calculation (GGA-PBE) of a relaxed KCo3Bi crystal.

- ΔE to the lowest computed polymorph: 924 meV/atom
- ΔH_f (0 K): 2122 meV per atom
- Energy: -3.14 eV/atom

a b c (Å): 4.657 4.657 4.657
angles (deg): 90.00 90.00 90.00
Space group Pm-3m (No. 221)
Unique sites:
K  0.000  0.000  0.000 x1
Co  0.000  0.000  0.500 x3
Bi  0.500  0.500  0.500 x1



# 5
The following is a DFT calculation (GGA-PBE) of a relaxed Ag3IBr crystal.

- Formation energy (no corrections): 0.40 eV/atom
- ΔE to the lowest computed polymorph: 87 meV/atom
- Energy: -1.95 eV/atom

a b c (Å): 5.535 5.535 5.535
angles (deg): 90.00 90.00 90.00
Space group Pm-3m (No. 221)
Unique sites:
Ag  0.000  0.000  0.500 x3
I  0.000  0.000  0.000 x1
Br  0.500  0.500  0.500 x1



# 6
The following is a DFT calculation (GGA-PBE) of a relaxed Cr2CoRe crystal.

- ΔH_f (0 K): 174 meV per atom
- Energy: -9.53 eV/atom

a b c (Å): 2.594 3.623 5.234
angles (deg): 90.00 90.00 90.00
Space group Pmm2 (No. 25)
Unique sites:
Cr  0.000  0.000  0.000 x1
Cr  0.500  0.500  0.242 x1
Co  0.500  0.500  0.767 x1
Re  0.000  0.000  0.506 x1



# 7
The following is a DFT calculation (GGA-PBE) of a relaxed YCrCoW2 crystal.

- ΔH_f (0 K): 3041 meV per atom
- Energy: -6.78 eV/atom

a b c (Å): 4.830 4.830 4.317
angles (deg): 90.00 90.00 90.00
Space group P4/mmm (No. 123)
Unique sites:
Y  0.000  0.000  0.000 x1
Cr  0.500  0.500  0.500 x1
Co  0.000  0.000  0.500 x1
W  0.000  0.500  0.000 x2



# 8
The following is a DFT calculation (GGA-PBE) of a relaxed KGa3I8 crystal.

- Formation energy (no corrections): -0.63 eV/atom
- Energy: -2.52 eV/atom

a b c (Å): 12.594 8.620 10.844
angles (deg): 90.00 92.31 90.00
Space group C2/m (No. 12)
Unique sites:
K  0.000  0.000  0.000 x2
Ga  0.000  0.000  0.500 x2
Ga  0.118  0.500  0.260 x4
I  0.007  0.258  0.732 x8
I  0.209  0.500  0.052 x4
I  0.241  0.500  0.456 x4



# 9
The following is a DFT calculation (GGA-PBE) of a relaxed CaTbGeN3 crystal.

- Formation energy (no corrections): -0.73 eV/atom
- Energy: -6.77 eV/atom

a b c (Å): 7.171 3.446 8.694
angles (deg): 90.00 102.36 90.00
Space group P2_1/m (No. 11)
Unique sites:
Ca  0.171  0.250  0.130 x2
Tb  0.367  0.750  0.851 x2
Ge  0.053  0.250  0.628 x2
N  0.077  0.250  0.838 x2
N  0.147  0.750  0.559 x2
N  0.413  0.750  0.118 x2



# 10
The following is a DFT calculation (GGA-PBE) of a relaxed LiLaTmCo crystal.

- ΔH_f (0 K): -17 meV per atom
- Energy: -4.62 eV/atom

a b c (Å): 7.013 7.013 7.013
angles (deg): 90.00 90.00 90.00
Space group F-43m (No. 216)
Unique sites:
Li  0.000  0.000  0.000 x4
La  0.250  0.250  0.250 x4
Tm  0.250  0.250  0.750 x4
Co  0.000  0.000  0.500 x4



# 11
The following is a DFT calculation (GGA-PBE) of a relaxed Er4GaPbC crystal.

- ΔH_f (0 K): -470 meV per atom
- Energy: -5.36 eV/atom

a b c (Å): 6.732 15.389 6.732
angles (deg): 90.00 90.00 90.00
Space group Cmcm (No. 63)
Unique sites:
Er  0.000  0.083  0.250 x4
Er  0.000  0.408  0.250 x4
Er  0.250  0.250  0.000 x8
Ga  0.000  0.118  0.750 x4
Pb  0.000  0.391  0.750 x4
C  0.000  0.248  0.250 x4



# 12
The following is a DFT calculation (GGA-PBE) of a relaxed YCdH2Pd crystal.

- Energy: -3.83 eV/atom

a b c (Å): 3.956 3.956 5.406
angles (deg): 90.00 90.00 90.00
Space group P4/mmm (No. 123)
Unique sites:
Y  0.000  0.000  0.000 x1
Cd  0.500  0.500  0.500 x1
H  0.000  0.500  0.500 x2
Pd  0.500  0.500  0.000 x1



Look up the energy of the tenth one. -4.62 eV/atom